The following is a PBE calculation of an optimized crystal structure of LuMgPdAu, from the Alexandria database.

Cell and atoms, written as POSCAR:
```
LuMgPdAu
1.0
4.773 0.000 0.000
2.387 4.134 0.000
2.387 1.378 3.897
Mg Lu Au Pd
1 1 1 1
direct
0.750 0.750 0.750
0.250 0.250 0.250
0.000 0.000 0.000
0.500 0.500 0.500
```

Its space-group type is No. 216. As for the formation energy: -0.8116 eV/atom.

The following is a PBE calculation of an optimized crystal structure of TbPmGeCl, from the Alexandria database.

Cell and atoms, written as POSCAR:
```
TbPmGeCl
1.0
5.104 0.000 0.000
2.552 4.421 0.000
2.552 1.474 4.168
Ge Cl Tb Pm
1 1 1 1
direct
0.000 0.000 0.000
0.500 0.500 0.500
0.250 0.250 0.250
0.750 0.750 0.750
```

As for the distance to the lowest polymorph of the same formula: 0 meV per atom. For the formation energy (no corrections), the calculation gives -97.51 kJ per mole of atoms. Its space-group type is No. 216.

The following is a PBE calculation of an optimized crystal structure of HfMo8W2, from the Alexandria database.

Cell and atoms, written as POSCAR:
```
HfMo8W2
1.0
-0.691 -1.518 2.713
-0.990 -6.054 -3.634
6.976 -4.384 1.198
Hf Mo W
1 8 2
direct
0.000 0.000 0.970
0.908 0.543 0.152
0.182 0.911 0.605
0.359 0.812 0.250
0.451 0.280 0.066
0.640 0.188 0.689
0.818 0.090 0.334
0.091 0.457 0.787
0.548 0.720 0.873
0.271 0.362 0.426
0.728 0.638 0.513
```

Its space-group type is No. 12. As for the formation energy: -0.0532 eV/atom.

Calculated volume: 76.9 94.0 179.1 (Å³/f.u.)
E_tot: -17.83 -19.89 -123.09 (eV for the cell shown)